1.
17
Lattice="6.2167 0.0000 0.0000 0.6725 7.7575 0.0000 2.2780 2.5613 11.2443" Properties=species:S:1:pos:R:3 comment="PBE-GGA Tl4Hg12Br, optimized geometry" total_magnetization_mub_per_fu=0.00 pbc="T T T"
Tl 0.0000 0.0000 0.0000
Tl 1.4753 5.1594 5.6221
Tl 4.2473 1.2806 5.6221
Tl 3.4446 3.8787 0.0000
Hg 2.5790 5.4412 9.9365
Hg 1.9997 7.9811 4.1585
Hg 3.7141 8.2336 8.9696
Hg 2.2423 3.0706 3.0869
Hg 4.0988 3.3374 8.1275
Hg 4.3450 6.0934 6.8192
Hg 4.8222 4.2253 4.4250
Hg 5.0684 6.9813 3.1167
Hg 6.9249 7.2481 8.1574
Hg 5.4531 2.0851 2.2746
Hg 7.1675 2.3376 7.0858
Hg 6.5882 4.8775 1.3078
Br 3.1083 0.0000 0.0000

***

2.
5
Lattice="5.8745 0.0000 0.0000 0.0000 5.8745 0.0000 0.0000 0.0000 5.8745" Properties=species:S:1:pos:R:3 comment="PBE-GGA Tl3HgBr, optimized geometry" e_above_lowest_polymorph_mev_per_atom=0 total_magnetization_mub_per_fu=0.00 pbc="T T T"
Tl 0.0000 0.0000 2.9372
Tl 0.0000 2.9372 0.0000
Tl 2.9372 0.0000 0.0000
Hg 0.0000 0.0000 0.0000
Br 2.9372 2.9372 2.9372

***

3.
80
Lattice="-9.3559 9.3559 9.3559 9.3559 -9.3559 9.3559 9.3559 9.3559 -9.3559" Properties=species:S:1:pos:R:3 comment="PBE-GGA Tl12Hg3Br5, optimized geometry" total_magnetization_mub_per_fu=0.00 pbc="T T T"
Tl 2.8091 -0.3663 1.5730
Tl 11.2248 6.2510 -5.0443
Tl 8.9896 -1.5730 2.8091
Tl 14.4002 -1.8689 3.1050
Tl 12.1650 0.3663 1.5730
Tl 11.2248 -3.1050 5.0443
Tl 1.5730 2.8091 -0.3663
Tl 12.4609 4.3116 -1.8689
Tl 6.2510 5.0443 -1.8689
Tl 7.7829 2.8091 0.3663
Tl -0.3663 1.5730 2.8091
Tl 5.0443 -1.8689 6.2510
Tl 8.9896 7.7829 -2.8091
Tl 5.0443 1.8689 3.1050
Tl 7.7829 -2.8091 8.9896
Tl 6.2510 -5.0443 11.2248
Tl 3.1050 5.0443 1.8689
Tl 10.9289 6.5469 0.3663
Tl 2.8091 8.9896 -1.5730
Tl 11.2248 3.1050 4.3116
Tl 5.0443 11.2248 -3.1050
Tl 8.9896 1.5730 6.5469
Tl 1.8689 3.1050 5.0443
Tl 2.8091 0.3663 7.7829
Tl 6.5469 8.9896 1.5730
Tl 7.4870 6.2510 4.3116
Tl 0.3663 7.7829 2.8091
Tl 4.3116 -1.8689 12.4609
Tl -1.8689 6.2510 5.0443
Tl 6.5469 0.3663 10.9289
Tl -1.5730 2.8091 8.9896
Tl 6.2510 4.3116 7.4870
Tl 3.1050 14.4002 -1.8689
Tl 1.5730 12.1650 0.3663
Tl 4.3116 7.4870 6.2510
Tl 0.3663 1.5730 12.1650
Tl 4.3116 11.2248 3.1050
Tl 9.7222 7.7829 6.5469
Tl 1.5730 6.5469 8.9896
Tl 3.1050 4.3116 11.2248
Tl -3.1050 5.0443 11.2248
Tl 7.7829 6.5469 9.7222
Tl -1.8689 12.4609 4.3116
Tl -2.8091 8.9896 7.7829
Tl -5.0443 11.2248 6.2510
Tl 0.3663 10.9289 6.5469
Tl -1.8689 3.1050 14.4002
Tl 6.5469 9.7222 7.7829
Hg 4.6780 2.3390 0.0000
Hg 9.3559 4.6780 -2.3390
Hg 2.3390 0.0000 4.6780
Hg 11.6949 0.0000 4.6780
Hg 0.0000 4.6780 2.3390
Hg 4.6780 -2.3390 9.3559
Hg 4.6780 11.6949 0.0000
Hg 9.3559 4.6780 7.0169
Hg -2.3390 9.3559 4.6780
Hg 7.0169 9.3559 4.6780
Hg 0.0000 4.6780 11.6949
Hg 4.6780 7.0169 9.3559
Br 0.0000 0.0000 0.0000
Br 4.6780 4.6780 -4.6780
Br 4.6780 -4.6780 4.6780
Br 9.3559 0.0000 0.0000
Br 14.0339 2.3390 0.0000
Br 9.3559 -4.6780 7.0169
Br 7.0169 9.3559 -4.6780
Br 7.0169 0.0000 4.6780
Br 4.6780 7.0169 0.0000
Br 9.3559 4.6780 2.3390
Br -4.6780 4.6780 4.6780
Br 0.0000 9.3559 0.0000
Br 0.0000 0.0000 9.3559
Br 4.6780 4.6780 4.6780
Br 0.0000 4.6780 7.0169
Br 4.6780 2.3390 9.3559
Br 2.3390 9.3559 4.6780
Br 2.3390 0.0000 14.0339
Br 0.0000 14.0339 2.3390
Br -4.6780 7.0169 9.3559

***

4.
30
Lattice="0.0000 7.5646 7.5646 7.5646 0.0000 7.5646 7.5646 7.5646 0.0000" Properties=species:S:1:pos:R:3 comment="PBE-GGA Tl6Hg23Br, optimized geometry" total_magnetization_mub_per_fu=0.00 pbc="T T T"
Tl 7.5646 7.5646 3.4337
Tl 7.5646 3.4337 7.5646
Tl 11.6955 7.5646 7.5646
Tl 3.4337 7.5646 7.5646
Tl 7.5646 11.6955 7.5646
Tl 7.5646 7.5646 11.6955
Hg 3.7823 3.7823 0.0000
Hg 3.7823 0.0000 3.7823
Hg 7.5646 3.7823 3.7823
Hg 9.3901 5.7391 5.7391
Hg 2.4358 2.4358 2.4358
Hg 5.1288 5.1288 2.4358
Hg 5.1288 2.4358 5.1288
Hg 5.7391 5.7391 5.7391
Hg 9.3901 9.3901 5.7391
Hg 9.3901 5.7391 9.3901
Hg 12.6934 10.0004 10.0004
Hg 0.0000 3.7823 3.7823
Hg 3.7823 7.5646 3.7823
Hg 3.7823 3.7823 7.5646
Hg 7.5646 7.5646 7.5646
Hg 2.4358 5.1288 5.1288
Hg 5.7391 9.3901 5.7391
Hg 5.7391 5.7391 9.3901
Hg 9.3901 9.3901 9.3901
Hg 10.0004 12.6934 10.0004
Hg 10.0004 10.0004 12.6934
Hg 12.6934 12.6934 12.6934
Hg 5.7391 9.3901 9.3901
Br 0.0000 0.0000 0.0000

***

Number 1: volume 542 Å³ per cell, uncorrected formation energy -0.052 eV per atom. Number 2: volume 203 Å³ per cell, uncorrected formation energy -0.040 eV per atom. Number 3: volume 3276 Å³ per cell, uncorrected formation energy -0.191 eV per atom. Number 4: volume 866 Å³ per cell, uncorrected formation energy -0.052 eV per atom.